(1)
Compound: Ba2TlTc
Source: Alexandria via LeMat-Bulk
Functional: PBE-GGA
Structure: relaxed

Geometry as extended XYZ:
```
4
Lattice="3.876 0.000 0.000 0.000 3.876 0.000 0.000 0.000 9.480" Properties=species:S:1:pos:R:3 pbc="T T T"
Tc 0.000 0.000 5.555
Ba 0.000 0.000 8.612
Ba 1.938 1.938 3.145
Tl 1.938 1.938 6.389
```

Properties
As for the space group: P4mm. Its total energy is -14.91 eV/cell.

---

(2)
Compound: YCu2Pt2
Source: Alexandria via LeMat-Bulk
Functional: PBE-GGA
Structure: relaxed

Geometry as extended XYZ:
```
10
Lattice="-1.537 1.742 3.168 -2.711 -2.833 0.243 9.047 -5.505 4.980" Properties=species:S:1:pos:R:3 pbc="T T T"
Y -0.353 -2.093 3.416
Y 5.152 -4.502 4.975
Cu 2.469 -2.158 2.385
Cu 2.330 -4.438 6.007
Cu -1.355 -1.417 0.122
Cu -0.768 0.871 1.584
Pt 2.693 -2.154 4.927
Pt 2.106 -4.442 3.464
Pt 3.807 -5.729 7.433
Pt 0.992 -0.867 0.958
```

Properties
As for the space group: I4/mmm. Its total energy is -59.12 eV/cell.

---

(3)
Compound: Be2CrPd
Source: Alexandria via LeMat-Bulk
Functional: PBE-GGA
Structure: relaxed

Geometry as extended XYZ:
```
8
Lattice="6.021 0.000 0.000 0.000 6.021 0.000 3.010 3.010 2.549" Properties=species:S:1:pos:R:3 pbc="T T T"
Pd 0.000 0.000 0.000
Pd 6.021 3.010 1.275
Be 1.491 4.516 0.637
Be 7.526 7.540 1.912
Be 4.516 4.501 1.912
Be 4.530 1.505 0.637
Cr 3.010 6.021 1.275
Cr 3.010 3.010 0.000
```

Properties
As for the space group: I-42d. Its total energy is -41.74 eV/cell.

---

(4)
Compound: LiTmMgAu
Source: Alexandria via LeMat-Bulk
Functional: PBE-GGA
Structure: relaxed

Geometry as extended XYZ:
```
4
Lattice="-4.303 -1.731 1.386 -1.022 -4.696 -0.584 -0.311 -2.907 3.858" Properties=species:S:1:pos:R:3 pbc="T T T"
Mg -1.409 -2.334 1.165
Tm -4.227 -7.001 3.495
Au 0.000 0.000 0.000
Li -2.818 -4.667 2.330
```

Properties
As for the space group: F-43m. Its total energy is -13.15 eV/cell.

---

no.,formation energy from the elements (meV/atom)
1,417
2,-565
3,349
4,-474